(1)
The following is a DFT calculation (GGA-PBE) of a relaxed Pm3Ga5H12 crystal.

a b c (Å): 10.847 10.847 10.847
angles (deg): 109.47 109.47 109.47
Sites, in units of the cell vectors:
1 Pm 0.125 0.250 0.375
2 Pm 0.125 0.375 0.750
3 Pm 0.250 0.375 0.125
4 Pm 0.250 0.875 0.625
5 Pm 0.375 0.125 0.250
6 Pm 0.375 0.750 0.125
7 Pm 0.625 0.250 0.875
8 Pm 0.625 0.875 0.750
9 Pm 0.750 0.125 0.375
10 Pm 0.750 0.625 0.875
11 Pm 0.875 0.625 0.250
12 Pm 0.875 0.750 0.625
13 Ga 0.000 0.000 0.000
14 Ga 0.000 0.000 0.500
15 Ga 0.000 0.500 0.000
16 Ga 0.000 0.500 0.500
17 Ga 0.125 0.750 0.875
18 Ga 0.125 0.875 0.250
19 Ga 0.250 0.125 0.875
20 Ga 0.250 0.625 0.375
21 Ga 0.375 0.250 0.625
22 Ga 0.375 0.625 0.750
23 Ga 0.500 0.000 0.000
24 Ga 0.500 0.000 0.500
25 Ga 0.500 0.500 0.000
26 Ga 0.500 0.500 0.500
27 Ga 0.625 0.375 0.250
28 Ga 0.625 0.750 0.375
29 Ga 0.750 0.375 0.625
30 Ga 0.750 0.875 0.125
31 Ga 0.875 0.125 0.750
32 Ga 0.875 0.250 0.125
33 H 0.038 0.252 0.145
34 H 0.038 0.285 0.892
35 H 0.107 0.752 0.715
36 H 0.107 0.855 0.392
37 H 0.108 0.645 0.393
38 H 0.108 0.962 0.715
39 H 0.145 0.038 0.252
40 H 0.145 0.608 0.893
41 H 0.215 0.252 0.607
42 H 0.215 0.462 0.608
43 H 0.248 0.285 0.893
44 H 0.248 0.462 0.355
45 H 0.252 0.145 0.038
46 H 0.252 0.607 0.215
47 H 0.285 0.892 0.038
48 H 0.285 0.893 0.248
49 H 0.355 0.248 0.462
50 H 0.355 0.607 0.892
51 H 0.392 0.107 0.855
52 H 0.392 0.785 0.538
53 H 0.393 0.108 0.645
54 H 0.393 0.785 0.748
55 H 0.462 0.355 0.248
56 H 0.462 0.608 0.215
57 H 0.538 0.392 0.785
58 H 0.538 0.645 0.752
59 H 0.607 0.215 0.252
60 H 0.607 0.892 0.355
61 H 0.608 0.215 0.462
62 H 0.608 0.893 0.145
63 H 0.645 0.393 0.108
64 H 0.645 0.752 0.538
65 H 0.715 0.107 0.752
66 H 0.715 0.108 0.962
67 H 0.748 0.393 0.785
68 H 0.748 0.855 0.962
69 H 0.752 0.538 0.645
70 H 0.752 0.715 0.107
71 H 0.785 0.538 0.392
72 H 0.785 0.748 0.393
73 H 0.855 0.392 0.107
74 H 0.855 0.962 0.748
75 H 0.892 0.038 0.285
76 H 0.892 0.355 0.607
77 H 0.893 0.145 0.608
78 H 0.893 0.248 0.285
79 H 0.962 0.715 0.108
80 H 0.962 0.748 0.855

Computed properties:
**Total magnetization**: 0.0000 μB/atom
**Uncorrected energy**: -3.485 eV/atom

(2)
The following is a DFT calculation (GGA-PBE) of a relaxed Na2BiIrW crystal.

a b c (Å): 5.273 5.273 4.754
angles (deg): 90.00 90.00 90.00
Sites, in units of the cell vectors:
1 Na 0.000 0.500 0.000
2 Na 0.500 0.000 0.000
3 Bi 0.000 0.000 0.500
4 Ir 0.500 0.500 0.000
5 W 0.500 0.500 0.500

Computed properties:
**Total magnetization**: 0.2590 μB/atom
**Uncorrected energy**: -4.633 eV/atom
**Energy of formation from the pure elements**: 1033 meV/atom

(3)
The following is a DFT calculation (GGA-PBE) of a relaxed K2BPd crystal.

a b c (Å): 12.382 12.382 4.039
angles (deg): 90.00 90.00 90.00
Sites, in units of the cell vectors:
1 K 0.032 0.750 0.125
2 K 0.250 0.032 0.875
3 K 0.250 0.468 0.375
4 K 0.468 0.750 0.625
5 K 0.532 0.250 0.625
6 K 0.750 0.532 0.375
7 K 0.750 0.968 0.875
8 K 0.968 0.250 0.125
9 B 0.000 0.000 0.500
10 B 0.000 0.500 0.750
11 B 0.500 0.000 0.250
12 B 0.500 0.500 0.000
13 Pd 0.000 0.000 0.000
14 Pd 0.000 0.500 0.250
15 Pd 0.500 0.000 0.750
16 Pd 0.500 0.500 0.500

Computed properties:
**Total magnetization**: 0.0000 μB/atom
**Uncorrected energy**: -3.181 eV/atom
**Energy of formation from the pure elements**: 336 meV/atom

(4)
The following is a DFT calculation (GGA-PBE) of a relaxed NaTb2MgTe4 crystal.

a b c (Å): 6.198 6.198 12.503
angles (deg): 90.00 90.00 90.00
Sites, in units of the cell vectors:
1 Na 0.000 0.000 0.000
2 Na 0.500 0.500 0.500
3 Tb 0.000 0.000 0.500
4 Tb 0.000 0.500 0.250
5 Tb 0.500 0.000 0.750
6 Tb 0.500 0.500 0.000
7 Mg 0.000 0.500 0.750
8 Mg 0.500 0.000 0.250
9 Te 0.000 0.000 0.252
10 Te 0.000 0.000 0.748
11 Te 0.000 0.500 0.503
12 Te 0.000 0.500 0.997
13 Te 0.500 0.000 0.003
14 Te 0.500 0.000 0.497
15 Te 0.500 0.500 0.248
16 Te 0.500 0.500 0.752

Computed properties:
**Uncorrected formation energy**: -9.13 eV per formula unit
**Total magnetization**: 0.0000 μB/atom
**Uncorrected energy**: -4.234 eV/atom

(5)
The following is a DFT calculation (GGA-PBE) of a relaxed Ca2ZnMo crystal.

a b c (Å): 5.179 5.179 3.681
angles (deg): 90.00 90.00 90.00
Sites, in units of the cell vectors:
1 Ca 0.000 0.500 0.000
2 Ca 0.500 0.000 0.000
3 Zn 0.000 0.000 0.500
4 Mo 0.500 0.500 0.500

Computed properties:
**Total magnetization**: 0.8416 μB/atom
**Uncorrected energy**: -3.467 eV/atom
**Energy of formation from the pure elements**: 560 meV/atom

(6)
The following is a DFT calculation (GGA-PBE) of a relaxed LuPuSn crystal.

a b c (Å): 5.197 5.197 3.477
angles (deg): 90.00 90.00 120.00
Sites, in units of the cell vectors:
1 Lu 0.000 0.000 0.000
2 Pu 0.667 0.333 0.564
3 Sn 0.333 0.667 0.189

Computed properties:
**Energy above the lowest structure with this stoichiometry**: 0.000 eV per atom
**Total magnetization**: 2.1785 μB/atom
**Uncorrected energy**: -7.836 eV/atom
**Energy of formation from the pure elements**: -218 meV/atom

(7)
The following is a DFT calculation (GGA-PBE) of a relaxed Ce4TeIr crystal.

a b c (Å): 7.452 6.951 7.079
angles (deg): 90.00 90.91 90.00
Sites, in units of the cell vectors:
1 Ce 0.125 0.143 0.341
2 Ce 0.125 0.357 0.841
3 Ce 0.353 0.601 0.398
4 Ce 0.353 0.899 0.898
5 Ce 0.647 0.101 0.102
6 Ce 0.647 0.399 0.602
7 Ce 0.875 0.643 0.159
8 Ce 0.875 0.857 0.659
9 Te 0.500 0.000 0.500
10 Te 0.500 0.500 0.000
11 Ir 0.000 0.000 0.000
12 Ir 0.000 0.500 0.500

Computed properties:
**Uncorrected formation energy**: -2.88 eV per formula unit
**Total magnetization**: 0.6836 μB/atom
**Uncorrected energy**: -6.436 eV/atom

(8)
The following is a DFT calculation (GGA-PBE) of a relaxed Nb2Cr3Co crystal.

a b c (Å): 4.968 4.968 4.968
angles (deg): 57.74 57.74 57.74
Sites, in units of the cell vectors:
1 Nb 0.124 0.124 0.124
2 Nb 0.876 0.876 0.876
3 Cr 0.000 0.500 0.500
4 Cr 0.500 0.000 0.500
5 Cr 0.500 0.500 0.000
6 Co 0.500 0.500 0.500

Computed properties:
**Total magnetization**: 0.3014 μB/atom
**Uncorrected energy**: -9.419 eV/atom
**Energy of formation from the pure elements**: -66 meV/atom

(9)
The following is a DFT calculation (GGA-PBE) of a relaxed LaNd3Sc crystal.

a b c (Å): 6.818 6.818 8.733
angles (deg): 106.69 106.69 62.54
Sites, in units of the cell vectors:
1 La 0.052 0.052 0.212
2 La 0.948 0.948 0.788
3 Nd 0.096 0.595 0.383
4 Nd 0.275 0.275 0.000
5 Nd 0.405 0.904 0.617
6 Nd 0.595 0.096 0.383
7 Nd 0.725 0.725 0.000
8 Nd 0.904 0.405 0.617
9 Sc 0.437 0.437 0.752
10 Sc 0.563 0.563 0.248

Computed properties:
**Energy above the lowest structure with this stoichiometry**: 0.000 eV per atom
**Total magnetization**: 0.0000 μB/atom
**Uncorrected energy**: -4.964 eV/atom
**Energy of formation from the pure elements**: 149 meV/atom

(10)
The following is a DFT calculation (GGA-PBE) of a relaxed PuHf2W crystal.

a b c (Å): 3.314 3.314 7.855
angles (deg): 90.00 90.00 90.00
Sites, in units of the cell vectors:
1 Pu 0.000 0.000 0.000
2 Hf 0.500 0.500 0.294
3 Hf 0.500 0.500 0.706
4 W 0.000 0.000 0.500

Computed properties:
**Energy above the lowest structure with this stoichiometry**: 0.000 eV per atom
**Total magnetization**: 1.5350 μB/atom
**Uncorrected energy**: -11.640 eV/atom
**Energy of formation from the pure elements**: 158 meV/atom

(11)
The following is a DFT calculation (GGA-PBE) of a relaxed Ag4SO4 crystal.

a b c (Å): 5.917 5.917 5.917
angles (deg): 104.92 104.92 119.03
Sites, in units of the cell vectors:
1 Ag 0.186 0.186 0.373
2 Ag 0.186 0.814 0.000
3 Ag 0.814 0.186 0.000
4 Ag 0.814 0.814 0.627
5 S 0.500 0.500 0.000
6 O 0.279 0.500 0.779
7 O 0.500 0.279 0.779
8 O 0.500 0.721 0.221
9 O 0.721 0.500 0.221

Computed properties:
**Uncorrected formation energy**: -0.85 eV per formula unit
**Total magnetization**: 0.0000 μB/atom
**Uncorrected energy**: -4.024 eV/atom

(12)
The following is a DFT calculation (GGA-PBE) of a relaxed AcBi2Br crystal.

a b c (Å): 4.576 4.576 6.160
angles (deg): 90.00 90.00 90.00
Sites, in units of the cell vectors:
1 Ac 0.000 0.000 0.000
2 Bi 0.000 0.500 0.500
3 Bi 0.500 0.000 0.500
4 Br 0.500 0.500 0.000

Computed properties:
**Uncorrected formation energy**: -3.50 eV per formula unit
**Total magnetization**: 0.0000 μB/atom
**Uncorrected energy**: -4.260 eV/atom

Please write out number 2 again, unchanged.
The following is a DFT calculation (GGA-PBE) of a relaxed Na2BiIrW crystal.

a b c (Å): 5.273 5.273 4.754
angles (deg): 90.00 90.00 90.00
Sites, in units of the cell vectors:
1 Na 0.000 0.500 0.000
2 Na 0.500 0.000 0.000
3 Bi 0.000 0.000 0.500
4 Ir 0.500 0.500 0.000
5 W 0.500 0.500 0.500

Computed properties:
**Total magnetization**: 0.2590 μB/atom
**Uncorrected energy**: -4.633 eV/atom
**Energy of formation from the pure elements**: 1033 meV/atom

Please write out number 11 again, unchanged.
The following is a DFT calculation (GGA-PBE) of a relaxed Ag4SO4 crystal.

a b c (Å): 5.917 5.917 5.917
angles (deg): 104.92 104.92 119.03
Sites, in units of the cell vectors:
1 Ag 0.186 0.186 0.373
2 Ag 0.186 0.814 0.000
3 Ag 0.814 0.186 0.000
4 Ag 0.814 0.814 0.627
5 S 0.500 0.500 0.000
6 O 0.279 0.500 0.779
7 O 0.500 0.279 0.779
8 O 0.500 0.721 0.221
9 O 0.721 0.500 0.221

Computed properties:
**Uncorrected formation energy**: -0.85 eV per formula unit
**Total magnetization**: 0.0000 μB/atom
**Uncorrected energy**: -4.024 eV/atom

What is the uncorrected energy in the eighth record? -9.419 eV/atom